Entry 1:
Computed, not measured: a relaxed Sm3PuHg12 crystal at the PBE level of DFT.

crystal system: tetragonal
D(E_F): 25.82 states/eV/f.u.
formation energy: -0.27 eV/atom
total energy: -36.5 eV for the cell shown

Lattice parameters (Å, degrees): 4.642 4.642 18.934 90.00 90.00 90.00
Space group P4/mmm (No. 123)
Symmetry-distinct sites (fractional):
Sm (0.000, 0.000, 0.000) (multiplicity 1)
Sm (0.000, 0.000, 0.250) (multiplicity 2)
Pu (0.000, 0.000, 0.500) (multiplicity 1)
Hg (0.000, 0.500, 0.124) (multiplicity 4)
Hg (0.000, 0.500, 0.374) (multiplicity 4)
Hg (0.500, 0.500, 0.000) (multiplicity 1)
Hg (0.500, 0.500, 0.248) (multiplicity 2)
Hg (0.500, 0.500, 0.500) (multiplicity 1)

=====

Entry 2:
Computed, not measured: a relaxed Tb3CeZn8 crystal at the PBE level of DFT.

crystal system: trigonal
D(E_F): 11.12 states/eV/f.u.
formation energy: -0.30 eV/atom
total energy: -33.6 eV for the cell shown

Lattice parameters (Å, degrees): 5.5546 5.5546 8.7063 90.00 90.00 120.00
Space group P3m1 (No. 156)
Symmetry-distinct sites (fractional):
Tb (0.0000, 0.0000, 0.0000) (multiplicity 1)
Tb (0.0000, 0.0000, 0.3839) (multiplicity 1)
Tb (0.3333, 0.6667, 0.8725) (multiplicity 1)
Ce (0.3333, 0.6667, 0.4969) (multiplicity 1)
Zn (0.0043, 0.5021, 0.1860) (multiplicity 3)
Zn (0.3292, 0.1646, 0.6913) (multiplicity 3)
Zn (0.6667, 0.3333, 0.4393) (multiplicity 1)
Zn (0.6667, 0.3333, 0.9393) (multiplicity 1)

=====

Entry 3:
Computed, not measured: a relaxed Rb2YHfI6 crystal at the PBE level of DFT.

crystal system: cubic
D(E_F): 7.04 states/eV/f.u.
total energy: -148.4 eV for the cell shown
E_form (uncorrected): -911 kJ/mol of formula units

Lattice parameters (Å, degrees): 11.874 11.874 11.874 90.00 90.00 90.00
Space group Fm-3m (No. 225)
Symmetry-distinct sites (fractional):
Rb (0.250, 0.250, 0.250) (multiplicity 8)
Y (0.000, 0.000, 0.000) (multiplicity 4)
Hf (0.000, 0.000, 0.500) (multiplicity 4)
I (0.000, 0.000, 0.256) (multiplicity 24)

=====

Entry 4:
Computed, not measured: a relaxed ErUSn2 crystal at the PBE level of DFT.

energy above the most stable polymorph in this dataset: 0.3950 eV/atom
crystal system: trigonal
D(E_F): 7.02 states/eV/f.u.
formation energy: 0.13 eV/atom
total energy: -70.0 eV for the cell shown

Lattice parameters (Å, degrees): 3.2511 3.2511 35.3361 90.00 90.00 120.00
Space group R-3m (No. 166, hexagonal axes)
Symmetry-distinct sites (fractional):
Er (0.0000, 0.0000, 0.0000) (multiplicity 3)
U (0.0000, 0.0000, 0.5000) (multiplicity 3)
Sn (0.0000, 0.0000, 0.0882) (multiplicity 6)

=====

Entry 5:
Computed, not measured: a relaxed Li4SiPd3 crystal at the PBE level of DFT.

crystal system: monoclinic
D(E_F): 1.81 states/eV/f.u.
total energy: -65.0 eV for the cell shown
E_form (uncorrected): -372 kJ/mol of formula units

Lattice parameters (Å, degrees): 17.771 2.939 4.348 90.00 104.06 90.00
Space group C2/m (No. 12)
Symmetry-distinct sites (fractional):
Li (0.122, 0.000, 0.122) (multiplicity 4)
Li (0.250, 0.000, 0.750) (multiplicity 4)
Si (0.000, 0.000, 0.500) (multiplicity 2)
Pd (0.000, 0.500, 0.000) (multiplicity 2)
Pd (0.118, 0.500, 0.618) (multiplicity 4)

=====

Entry 6:
Computed, not measured: a relaxed Li2MgTl3Hg3 crystal at the PBE level of DFT.

crystal system: hexagonal
D(E_F): 2.80 states/eV/f.u.
formation energy: -0.11 eV/atom
total energy: -14.4 eV for the cell shown

Lattice parameters (Å, degrees): 8.6454 8.6454 3.3710 90.00 90.00 120.00
Space group P-62m (No. 189)
Symmetry-distinct sites (fractional):
Li (0.3333, 0.6667, 0.0000) (multiplicity 2)
Mg (0.0000, 0.0000, 0.5000) (multiplicity 1)
Tl (0.0000, 0.2986, 0.0000) (multiplicity 3)
Hg (0.0000, 0.6232, 0.5000) (multiplicity 3)

=====

Entry 7:
Computed, not measured: a relaxed Dy3TlS crystal at the PBE level of DFT.

energy above the most stable polymorph in this dataset: 0.0000 eV/atom
crystal system: orthorhombic
D(E_F): 3.55 states/eV/f.u.
total energy: -100.8 eV for the cell shown
E_form (uncorrected): -473 kJ/mol of formula units

Lattice parameters (Å, degrees): 9.001 3.934 14.812 90.00 90.00 90.00
Space group Pnma (No. 62)
Symmetry-distinct sites (fractional):
Dy (0.029, 0.250, 0.111) (multiplicity 4)
Dy (0.166, 0.250, 0.512) (multiplicity 4)
Dy (0.208, 0.750, 0.284) (multiplicity 4)
Tl (0.069, 0.750, 0.673) (multiplicity 4)
S (0.160, 0.250, 0.945) (multiplicity 4)

=====

Entry 8:
Computed, not measured: a relaxed Ba6LiPd3 crystal at the PBE level of DFT.

crystal system: monoclinic
D(E_F): 6.74 states/eV/f.u.
formation energy: -0.32 eV/atom
total energy: -64.5 eV for the cell shown

Lattice parameters (Å, degrees): 11.852 4.592 16.508 90.00 110.31 90.00
Space group P2_1/m (No. 11)
Symmetry-distinct sites (fractional):
Ba (0.025, 0.250, 0.113) (multiplicity 2)
Ba (0.055, 0.750, 0.409) (multiplicity 2)
Ba (0.229, 0.250, 0.811) (multiplicity 2)
Ba (0.328, 0.250, 0.586) (multiplicity 2)
Ba (0.346, 0.250, 0.337) (multiplicity 2)
Ba (0.355, 0.750, 0.068) (multiplicity 2)
Li (0.410, 0.750, 0.761) (multiplicity 2)
Pd (0.164, 0.250, 0.981) (multiplicity 2)
Pd (0.168, 0.750, 0.650) (multiplicity 2)
Pd (0.420, 0.750, 0.478) (multiplicity 2)

=====

Entry 9:
Computed, not measured: a relaxed BeGa2Pd2 crystal at the PBE level of DFT.

energy above the most stable polymorph in this dataset: 0.1340 eV/atom
crystal system: tetragonal
D(E_F): 0.42 states/eV/f.u.
formation energy: -0.24 eV/atom
total energy: -42.7 eV for the cell shown

Lattice parameters (Å, degrees): 6.630 6.630 3.349 90.00 90.00 90.00
Space group P4/mbm (No. 127)
Symmetry-distinct sites (fractional):
Be (0.000, 0.000, 0.000) (multiplicity 2)
Ga (0.141, 0.359, 0.000) (multiplicity 4)
Pd (0.161, 0.661, 0.500) (multiplicity 4)

=====

Entry 10:
Computed, not measured: a relaxed KSnSbO6 crystal at the PBE level of DFT.

crystal system: trigonal
D(E_F): 6.55 states/eV/f.u.
total energy: -98.7 eV for the cell shown
E_form (uncorrected): -1002 kJ/mol of formula units

Lattice parameters (Å, degrees): 5.4938 5.4938 12.0079 90.00 90.00 120.00
Space group P-31c (No. 163)
Symmetry-distinct sites (fractional):
K (0.0000, 0.0000, 0.0000) (multiplicity 2)
Sn (0.3333, 0.6667, 0.2500) (multiplicity 2)
Sb (0.3333, 0.6667, 0.7500) (multiplicity 2)
O (0.0126, 0.3788, 0.6576) (multiplicity 12)

=====

Entry 11:
Computed, not measured: a relaxed Cs2LiIrO4 crystal at the PBE level of DFT.

crystal system: orthorhombic
D(E_F): 5.49 states/eV/f.u.
total energy: -334.1 eV for the cell shown
E_form (uncorrected): -912 kJ/mol of formula units

Lattice parameters (Å, degrees): 5.425 13.665 19.895 90.00 90.00 90.00
Space group Fddd (No. 70, origin choice 2)
Symmetry-distinct sites (fractional):
Cs (0.125, 0.125, 0.294) (multiplicity 16)
Li (0.125, 0.125, 0.125) (multiplicity 8)
Ir (0.125, 0.125, 0.625) (multiplicity 8)
O (0.115, 0.280, 0.856) (multiplicity 32)

=====

Entry 12:
Computed, not measured: a relaxed InI3 crystal at the PBE level of DFT.

crystal system: tetragonal
D(E_F): 3.63 states/eV/f.u.
total energy: -32.6 eV for the cell shown
E_form (uncorrected): -73 kJ/mol of formula units

Lattice parameters (Å, degrees): 10.608 10.608 6.129 90.00 90.00 90.00
Space group I-42d (No. 122)
Symmetry-distinct sites (fractional):
In (0.000, 0.000, 0.000) (multiplicity 4)
I (0.000, 0.000, 0.500) (multiplicity 4)
I (0.121, 0.250, 0.125) (multiplicity 8)

=====

Entry 13:
Computed, not measured: a relaxed TlBr2 crystal at the PBE level of DFT.

crystal system: cubic
D(E_F): 1.14 states/eV/f.u.
total energy: -49.3 eV for the cell shown
E_form (uncorrected): -43 kJ/mol of formula units

Lattice parameters (Å, degrees): 9.388 9.388 9.388 90.00 90.00 90.00
Space group Fd-3m (No. 227, origin choice 2)
Symmetry-distinct sites (fractional):
Tl (0.125, 0.125, 0.125) (multiplicity 8)
Br (0.000, 0.000, 0.500) (multiplicity 16)

=====

Entry 14:
Computed, not measured: a relaxed Tl3Ni crystal at the PBE level of DFT.

crystal system: orthorhombic
D(E_F): 2.16 states/eV/f.u.
formation energy: 0.24 eV/atom
total energy: -11.9 eV for the cell shown

Lattice parameters (Å, degrees): 3.381 3.476 8.761 90.00 90.00 90.00
Space group Pmm2 (No. 25)
Symmetry-distinct sites (fractional):
Tl (0.000, 0.000, 0.000) (multiplicity 1)
Tl (0.000, 0.500, 0.330) (multiplicity 1)
Tl (0.500, 0.500, 0.705) (multiplicity 1)
Ni (0.500, 0.000, 0.469) (multiplicity 1)

=====

Entry 15:
Computed, not measured: a relaxed PrDyErAl crystal at the PBE level of DFT.

energy above the most stable polymorph in this dataset: 0.1375 eV/atom
crystal system: cubic
D(E_F): 6.95 states/eV/f.u.
formation energy: -0.06 eV/atom
total energy: -71.7 eV for the cell shown

Lattice parameters (Å, degrees): 7.644 7.644 7.644 90.00 90.00 90.00
Space group F-43m (No. 216)
Symmetry-distinct sites (fractional):
Pr (0.000, 0.000, 0.000) (multiplicity 4)
Dy (0.000, 0.000, 0.500) (multiplicity 4)
Er (0.250, 0.250, 0.750) (multiplicity 4)
Al (0.250, 0.250, 0.250) (multiplicity 4)

=====

Entry 16:
Computed, not measured: a relaxed SnSb4Pd15 crystal at the PBE level of DFT.

crystal system: tetragonal
D(E_F): 13.68 states/eV/f.u.
total energy: -106.2 eV for the cell shown
E_form (uncorrected): -754 kJ/mol of formula units

Lattice parameters (Å, degrees): 4.068 4.068 20.130 90.00 90.00 90.00
Space group P4/mmm (No. 123)
Symmetry-distinct sites (fractional):
Sn (0.000, 0.000, 0.000) (multiplicity 1)
Sb (0.000, 0.000, 0.199) (multiplicity 2)
Sb (0.000, 0.000, 0.400) (multiplicity 2)
Pd (0.000, 0.500, 0.100) (multiplicity 4)
Pd (0.000, 0.500, 0.300) (multiplicity 4)
Pd (0.000, 0.500, 0.500) (multiplicity 2)
Pd (0.500, 0.500, 0.000) (multiplicity 1)
Pd (0.500, 0.500, 0.200) (multiplicity 2)
Pd (0.500, 0.500, 0.400) (multiplicity 2)

=====

Entry 17:
Computed, not measured: a relaxed Sr2TcRu crystal at the PBE level of DFT.

energy above the most stable polymorph in this dataset: 0.7922 eV/atom
crystal system: cubic
D(E_F): 6.83 states/eV/f.u.
formation energy: 0.97 eV/atom
total energy: -76.5 eV for the cell shown

Lattice parameters (Å, degrees): 7.098 7.098 7.098 90.00 90.00 90.00
Space group F-43m (No. 216)
Symmetry-distinct sites (fractional):
Sr (0.000, 0.000, 0.000) (multiplicity 4)
Sr (0.250, 0.250, 0.250) (multiplicity 4)
Tc (0.250, 0.250, 0.750) (multiplicity 4)
Ru (0.000, 0.000, 0.500) (multiplicity 4)

=====

Entry 18:
Computed, not measured: a relaxed PaAl2Cu2Au crystal at the PBE level of DFT.

crystal system: trigonal
D(E_F): 4.92 states/eV/f.u.
formation energy: -0.25 eV/atom
total energy: -30.0 eV for the cell shown

Lattice parameters (Å, degrees): 4.2206 4.2206 6.7085 90.00 90.00 120.00
Space group P-3m1 (No. 164)
Symmetry-distinct sites (fractional):
Pa (0.0000, 0.0000, 0.0000) (multiplicity 1)
Al (0.3333, 0.6667, 0.6861) (multiplicity 2)
Cu (0.3333, 0.6667, 0.2625) (multiplicity 2)
Au (0.0000, 0.0000, 0.5000) (multiplicity 1)

=====

Entry 19:
Computed, not measured: a relaxed CsK2ZnBi2 crystal at the PBE level of DFT.

crystal system: orthorhombic
D(E_F): 6.19 states/eV/f.u.
formation energy: -0.24 eV/atom
total energy: -54.2 eV for the cell shown

Lattice parameters (Å, degrees): 10.022 14.152 7.515 90.00 90.00 90.00
Space group Ibam (No. 72)
Symmetry-distinct sites (fractional):
Cs (0.000, 0.000, 0.250) (multiplicity 4)
K (0.160, 0.322, 0.000) (multiplicity 8)
Zn (0.000, 0.500, 0.250) (multiplicity 4)
Bi (0.176, 0.409, 0.500) (multiplicity 8)